Compound: CuAgPd2
Source: the Alexandria database
Functional: PBE
Structure: optimized geometry

Output
Electronic total energy ... -4.398 eV per atom
Energy of formation from the pure elements ... -0.065 eV per atom
E above lowest polymorph ... 0.0 meV/atom

Cell: 2.8329 2.8329 7.5777 Å, 90.00 90.00 90.00°
Last column: nearest neighbours and their distance in Å.
Sites, in units of the cell vectors:
Cu (0.5000, 0.5000, 0.0000)  8 Pd 2.64, 4 Cu 2.83
Pd (0.0000, 0.0000, 0.7732)  4 Cu 2.64, 4 Pd 2.83, 4 Ag 2.88
Pd (0.0000, 0.0000, 0.2268)  4 Cu 2.64, 4 Pd 2.83, 4 Ag 2.88
Ag (0.5000, 0.5000, 0.5000)  4 Ag 2.83, 8 Pd 2.88